{"formula": "Re2SnP", "functional": "GGA-PBE", "state": "optimized geometry", "cell": [[0.0000, 3.1366, 3.1366], [3.1366, 0.0000, 3.1366], [3.1366, 3.1366, 0.0000]], "species": ["Re", "P", "Sn", "Re"], "frac_coords": [[0.2500, 0.2500, 0.2500], [0.0000, 0.0000, 0.0000], [0.5000, 0.5000, 0.5000], [0.7500, 0.7500, 0.7500]], "ef_ev_per_atom": 0.5048, "spacegroup": "Fm-3m", "relative_energy_mev_per_atom": 0, "total_magnetization_mub_per_cell": 0.00, "volume_a3_per_atom": 15.4}